Compound: CaAl2Fe
Source: the Alexandria database
Functional: GGA-PBE
Structure: relaxed

Values from the calculation:
Energy of formation   -69 kJ/mol of formula units
Total energy   -4.67 eV per atom

abc: 3.0327 3.0327 7.4889
angles: 90.00 90.00 90.00
Space group P4/mmm (No. 123)
Inequivalent atoms, fractional coordinates:
Ca  0.0000  0.0000  0.0000 (multiplicity 1)
Al  0.5000  0.5000  0.3229 (multiplicity 2)
Fe  0.0000  0.0000  0.5000 (multiplicity 1)

=====

Compound: CaAl2Fe
Source: the Alexandria database
Functional: GGA-PBE
Structure: relaxed

Values from the calculation:
Energy of formation   125 kJ/mol of formula units
Total energy   -4.16 eV per atom

abc: 3.0508 3.0508 27.6802
angles: 90.00 90.00 120.00
Space group R3m (No. 160, hexagonal axes)
Inequivalent atoms, fractional coordinates:
Ca  0.0000  0.0000  0.0000 (multiplicity 3)
Al  0.0000  0.0000  0.2348 (multiplicity 3)
Al  0.0000  0.0000  0.4873 (multiplicity 3)
Fe  0.0000  0.0000  0.7525 (multiplicity 3)

=====

Compound: CaAl2Fe
Source: the Alexandria database
Functional: GGA-PBE
Structure: relaxed

Values from the calculation:
Energy of formation   115 kJ/mol of formula units
Total energy   -4.19 eV per atom

abc: 5.0168 5.0168 15.9126
angles: 90.00 90.00 90.00
Space group I-42d (No. 122)
Inequivalent atoms, fractional coordinates:
Ca  0.0000  0.0000  0.0000 (multiplicity 4)
Al  0.0017  0.2500  0.6250 (multiplicity 8)
Fe  0.0000  0.0000  0.5000 (multiplicity 4)

=====

Question: The highest energy of formation belongs to which entry?
Answer: number 2

=====

Question: What is the energy of formation in the first record?
Answer: -69 kJ/mol of formula units

=====

Question: What is the formula in the first record?
Answer: CaAl2Fe

=====

Question: Which of these has the lowest energy of formation?
Answer: number 1